Entry 1:
# CuTeW2, optimized geometry, DFT PBE
# * total energy: -7.585 eV per atom
# * uncorrected formation energy: 0.7015 eV per atom
# * DOS at the Fermi energy: 1.0243 states/eV per atom
data_CuTeW2
_chemical_formula_sum 'Cu1 Te1 W2'
_cell_length_a 3.157
_cell_length_b 4.524
_cell_length_c 4.734
_cell_angle_alpha 90.00
_cell_angle_beta 90.00
_cell_angle_gamma 90.00
_space_group_name_H-M_alt 'P m m 2'
_space_group_IT_number 25
loop_
_space_group_symop_operation_xyz
'x,y,z'
'-x,-y,z'
'-x,y,z'
'x,-y,z'
loop_
_atom_site_label
_atom_site_fract_x
_atom_site_fract_y
_atom_site_fract_z
Cu1 0.000 0.000 0.000
Te1 0.500 0.500 0.847
W1 0.000 0.500 0.340
W2 0.500 0.000 0.470

***

Entry 2:
# CuTeW2, optimized geometry, DFT PBE
# * total energy: -7.693 eV per atom
# * uncorrected formation energy: 0.5933 eV per atom
# * DOS at the Fermi energy: 1.4423 states/eV per atom
data_CuTeW2
_chemical_formula_sum 'Cu3 Te3 W6'
_cell_length_a 3.2162
_cell_length_b 3.2162
_cell_length_c 25.0637
_cell_angle_alpha 90.00
_cell_angle_beta 90.00
_cell_angle_gamma 120.00
_space_group_name_H-M_alt 'R 3 m'
_space_group_IT_number 160
_space_group_name_Hall 'R 3 -2"'
loop_
_atom_site_label
_atom_site_fract_x
_atom_site_fract_y
_atom_site_fract_z
Cu1 0.0000 0.0000 0.0000
Te1 0.0000 0.0000 0.2406
W1 0.0000 0.0000 0.4835
W2 0.0000 0.0000 0.7461

***

Entry 3:
# CuTeW2, optimized geometry, DFT PBE
# * total energy: -7.565 eV per atom
# * uncorrected formation energy: 0.7206 eV per atom
# * DOS at the Fermi energy: 0.7149 states/eV per atom
data_CuTeW2
_chemical_formula_sum 'Cu1 Te1 W2'
_cell_length_a 3.281
_cell_length_b 3.281
_cell_length_c 6.202
_cell_angle_alpha 90.00
_cell_angle_beta 90.00
_cell_angle_gamma 90.00
_space_group_name_H-M_alt 'P 4/m m m'
_space_group_IT_number 123
_space_group_name_Hall '-P 4 2'
loop_
_atom_site_label
_atom_site_fract_x
_atom_site_fract_y
_atom_site_fract_z
Cu1 0.000 0.000 0.000
Te1 0.000 0.000 0.500
W1 0.500 0.500 0.210